# Sr3Ac2TbTe6

A geometry-optimized Sr3Ac2TbTe6 structure (PBE, Alexandria).

The structure in CIF format:
```
data_Sr3Ac2TbTe6
_chemical_formula_sum 'Sr6 Ac4 Tb2 Te12'
_cell_length_a 20.452
_cell_length_b 4.635
_cell_length_c 9.418
_cell_angle_alpha 90.00
_cell_angle_beta 104.40
_cell_angle_gamma 90.00
_space_group_name_H-M_alt 'C 1 2/m 1'
_space_group_IT_number 12
loop_
_space_group_symop_operation_xyz
'x,y,z'
'-x,-y,-z'
'-x,y,-z'
'x,-y,z'
'x+1/2,y+1/2,z'
'-x+1/2,-y+1/2,-z'
'-x+1/2,y+1/2,-z'
'x+1/2,-y+1/2,z'
loop_
_atom_site_label
_atom_site_type_symbol
_atom_site_fract_x
_atom_site_fract_y
_atom_site_fract_z
Sr1 Sr 0.000 0.000 0.000
Sr2 Sr 0.170 0.500 0.335
Ac1 Ac 0.166 0.500 0.833
Tb1 Tb 0.000 0.000 0.500
Te1 Te 0.003 0.500 0.267
Te2 Te 0.160 0.000 0.576
Te3 Te 0.165 0.000 0.087
```

Calculated values
Magnetic moment (μB per formula unit): 0.000
Raw formation energy (kJ/mol of formula units): -1798

---

# NaInS2

A geometry-optimized NaInS2 structure (PBE, Alexandria).

The structure in CIF format:
```
data_NaInS2
_chemical_formula_sum 'Na1 In1 S2'
_cell_length_a 3.8948
_cell_length_b 3.8948
_cell_length_c 7.2383
_cell_angle_alpha 90.00
_cell_angle_beta 90.00
_cell_angle_gamma 120.00
_space_group_name_H-M_alt 'P 3 m 1'
_space_group_IT_number 156
loop_
_space_group_symop_operation_xyz
'x,y,z'
'-y,x-y,z'
'-x+y,-x,z'
'-y,-x,z'
'-x+y,y,z'
'x,x-y,z'
loop_
_atom_site_label
_atom_site_type_symbol
_atom_site_fract_x
_atom_site_fract_y
_atom_site_fract_z
Na1 Na 0.0000 0.0000 0.0000
In1 In 0.6667 0.3333 0.5606
S1 S 0.0000 0.0000 0.3747
S2 S 0.3333 0.6667 0.7751
```

Calculated values
Magnetic moment (μB per formula unit): 0.000
Raw formation energy (kJ/mol of formula units): -312

---

# TeCl3

A geometry-optimized TeCl3 structure (PBE, Alexandria).

The structure in CIF format:
```
data_TeCl3
_chemical_formula_sum 'Te2 Cl6'
_cell_length_a 4.983
_cell_length_b 14.903
_cell_length_c 3.287
_cell_angle_alpha 90.00
_cell_angle_beta 90.00
_cell_angle_gamma 90.00
_space_group_name_H-M_alt 'C m m m'
_space_group_IT_number 65
_space_group_name_Hall '-C 2 2'
loop_
_atom_site_label
_atom_site_type_symbol
_atom_site_fract_x
_atom_site_fract_y
_atom_site_fract_z
Te1 Te 0.000 0.000 0.000
Cl1 Cl 0.000 0.500 0.000
Cl2 Cl 0.250 0.250 0.500
```

Calculated values
Polymorph energy (0 for the lowest one) (meV/atom): 530
Magnetic moment (μB per formula unit): 0.000
Raw formation energy (kJ/mol of formula units): 43

---

# YAgSnPt

A geometry-optimized YAgSnPt structure (PBE, Alexandria).

The structure in CIF format:
```
data_YAgSnPt
_chemical_formula_sum 'Y4 Ag4 Sn4 Pt4'
_cell_length_a 6.896
_cell_length_b 6.896
_cell_length_c 6.896
_cell_angle_alpha 90.00
_cell_angle_beta 90.00
_cell_angle_gamma 90.00
_space_group_name_H-M_alt 'F -4 3 m'
_space_group_IT_number 216
_space_group_name_Hall 'F -4 2 3'
loop_
_atom_site_label
_atom_site_type_symbol
_atom_site_fract_x
_atom_site_fract_y
_atom_site_fract_z
Y1 Y 0.000 0.000 0.000
Ag1 Ag 0.250 0.250 0.250
Sn1 Sn 0.000 0.000 0.500
Pt1 Pt 0.250 0.250 0.750
```

Calculated values
Magnetic moment (μB per formula unit): 0.000
Formation energy (kJ/mol of formula units): -260

---

# HgOs2Pt

A geometry-optimized HgOs2Pt structure (PBE, Alexandria).

The structure in CIF format:
```
data_HgOs2Pt
_chemical_formula_sum 'Hg1 Os2 Pt1'
_cell_length_a 2.773
_cell_length_b 4.793
_cell_length_c 4.930
_cell_angle_alpha 90.00
_cell_angle_beta 90.00
_cell_angle_gamma 90.00
_space_group_name_H-M_alt 'P m m m'
_space_group_IT_number 47
loop_
_space_group_symop_operation_xyz
'x,y,z'
'-x,-y,-z'
'-x,-y,z'
'x,y,-z'
'x,-y,-z'
'-x,y,z'
'-x,y,-z'
'x,-y,z'
loop_
_atom_site_label
_atom_site_type_symbol
_atom_site_fract_x
_atom_site_fract_y
_atom_site_fract_z
Hg1 Hg 0.000 0.000 0.000
Os1 Os 0.000 0.500 0.500
Os2 Os 0.500 0.000 0.500
Pt1 Pt 0.500 0.500 0.000
```

Calculated values
Magnetic moment (μB per formula unit): 0.589
Formation energy (kJ/mol of formula units): 300

---

# Zr4GaGe

A geometry-optimized Zr4GaGe structure (PBE, Alexandria).

The structure in CIF format:
```
data_Zr4GaGe
_chemical_formula_sum 'Zr8 Ga2 Ge2'
_cell_length_a 6.697
_cell_length_b 6.697
_cell_length_c 5.448
_cell_angle_alpha 90.00
_cell_angle_beta 90.00
_cell_angle_gamma 90.00
_space_group_name_H-M_alt 'P 4/m c c'
_space_group_IT_number 124
_space_group_name_Hall '-P 4 2c'
loop_
_atom_site_label
_atom_site_type_symbol
_atom_site_fract_x
_atom_site_fract_y
_atom_site_fract_z
Zr1 Zr 0.154 0.345 0.000
Ga1 Ga 0.500 0.500 0.250
Ge1 Ge 0.000 0.000 0.250
```

Calculated values
Polymorph energy (0 for the lowest one) (meV/atom): 0
Magnetic moment (μB per formula unit): 0.000
Formation energy (kJ/mol of formula units): -349